1.
TbGa4Rh (PBE, relaxed); energy of formation = -0.421 eV/atom; Fermi-level density of states = 0.7011 states/eV per atom; final energy = -4.44 eV/atom; density = 7.05 g cm⁻³
1.0
-2.9932 2.9932 7.1041
2.9932 -2.9932 7.1041
2.9932 2.9932 -7.1041
Tb Ga Rh
2 8 2
Cartesian
0.0000 0.0000 0.0000
0.0000 0.0000 7.1041
4.4832 1.4900 -2.1298
1.4900 1.5033 -2.1298
4.4832 1.4900 2.1298
1.4900 1.5033 2.1298
1.5033 1.4900 4.9743
-1.4900 1.5033 4.9743
1.5033 1.4900 9.2339
-1.4900 1.5033 9.2339
0.0000 0.0000 3.5521
0.0000 0.0000 10.6562



2.
Tm4Ir (PBE, relaxed); energy of formation = -0.267 eV/atom; Fermi-level density of states = 1.2925 states/eV per atom; final energy = -5.62 eV/atom; ΔE to the lowest computed polymorph = 163 meV per atom; density = 9.41 g cm⁻³
1.0
5.3497 0.0000 0.0000
0.0000 5.3497 0.0000
0.0000 0.0000 5.3497
Tm Ir
4 1
Cartesian
0.0000 0.0000 0.0000
0.0000 2.6749 2.6749
2.6749 0.0000 2.6749
2.6749 2.6749 0.0000
2.6749 2.6749 2.6749



3.
Pa3Tl3RhS8 (PBE, relaxed); Fermi-level density of states = 1.2082 states/eV per atom; final energy = -6.07 eV/atom; density = 6.82 g cm⁻³
1.0
6.6948 -3.8720 0.0000
6.6948 3.8720 0.0000
-4.4590 0.0000 7.8209
Pa Tl Rh S
3 3 1 8
Cartesian
0.0000 0.0000 0.0000
3.3474 1.9360 0.0000
3.3474 -1.9360 0.0000
1.1179 1.9360 3.9105
1.1179 -1.9360 3.9105
4.4652 0.0000 3.9105
6.6948 0.0000 0.0000
2.2340 0.0000 1.5778
5.6245 1.8560 1.4668
3.3059 1.8560 6.3541
0.1187 0.0000 6.3675
8.8118 0.0000 1.4534
5.6245 -1.8560 1.4668
3.3059 -1.8560 6.3541
6.6965 0.0000 6.2431



4.
LiMg14C (PBE, relaxed); energy of formation = 0.259 eV/atom; Fermi-level density of states = 0.3908 states/eV per atom; final energy = -1.83 eV/atom; ΔE to the lowest computed polymorph = 96 meV per atom; density = 1.77 g cm⁻³
1.0
6.2735 0.0000 0.0000
-3.1367 5.4330 0.0000
0.0000 0.0000 9.8840
Li Mg C
1 14 1
Cartesian
0.0000 0.0000 0.0000
-1.5405 2.7326 0.0000
0.0000 1.7318 2.6484
0.0000 1.7318 7.2356
-1.6370 4.5671 2.6484
-1.6370 4.5671 7.2356
1.5405 2.7326 0.0000
0.0000 5.4008 0.0000
3.1367 0.0462 4.9420
1.6084 2.6934 4.9420
3.1367 1.8110 2.4371
3.1367 1.8110 7.4469
1.6370 4.5671 2.6484
1.6370 4.5671 7.2356
4.6651 2.6934 4.9420
0.0000 0.0000 4.9420



5.
CaSi2Se (PBE, relaxed); Fermi-level density of states = 0.5098 states/eV per atom; final energy = -4.37 eV/atom; density = 3.41 g cm⁻³
1.0
5.5314 0.0000 0.0000
0.0000 5.5759 0.0000
0.0000 0.0000 11.0660
Ca Si Se
4 8 4
Cartesian
0.0000 0.0000 0.0000
0.0000 2.7880 5.5330
2.7657 0.0000 5.5330
2.7657 2.7880 0.0000
0.0000 1.3940 2.7665
0.0000 1.3940 8.2995
0.0000 4.1819 2.7665
0.0000 4.1819 8.2995
2.7657 1.3940 2.7665
2.7657 1.3940 8.2995
2.7657 4.1819 2.7665
2.7657 4.1819 8.2995
0.0000 0.0000 5.5330
0.0000 2.7880 0.0000
2.7657 0.0000 0.0000
2.7657 2.7880 5.5330



6.
CuHgBPt2 (PBE, relaxed); energy of formation = -0.004 eV/atom; Fermi-level density of states = 0.4573 states/eV per atom; final energy = -4.64 eV/atom; density = 14.82 g cm⁻³
1.0
4.2211 0.0000 0.0000
0.0000 4.2211 0.0000
0.0000 0.0000 4.1816
Cu Hg B Pt
1 1 1 2
Cartesian
0.0000 0.0000 0.0000
2.1105 2.1105 0.0000
0.0000 0.0000 2.0908
0.0000 2.1105 2.0908
2.1105 0.0000 2.0908



7.
Ba2BeCd (PBE, relaxed); energy of formation = 0.349 eV/atom; Fermi-level density of states = 1.0993 states/eV per atom; final energy = -1.77 eV/atom; ΔE to the lowest computed polymorph = 265 meV per atom; density = 4.04 g cm⁻³
1.0
8.5336 0.0000 0.0000
0.0000 4.2155 0.0000
-1.9558 0.0000 9.0401
Ba Be Cd
4 2 2
Cartesian
1.6485 0.0000 1.9825
0.6625 2.1077 7.0576
5.9153 2.1077 1.9825
4.9293 0.0000 7.0576
0.0000 2.1077 0.0000
4.2668 0.0000 0.0000
-0.9779 0.0000 4.5201
3.2889 2.1077 4.5201



8.
BeAg2As (PBE, relaxed); energy of formation = 0.312 eV/atom; Fermi-level density of states = 0.3725 states/eV per atom; final energy = -3.21 eV/atom; ΔE to the lowest computed polymorph = 101 meV per atom; density = 7.68 g cm⁻³
1.0
3.9193 0.0000 0.0000
0.0000 3.9193 0.0000
0.0000 0.0000 8.4395
Be Ag As
2 4 2
Cartesian
0.0000 0.0000 0.0000
1.9597 1.9597 4.2198
0.0000 1.9597 2.1099
0.0000 1.9597 6.3297
1.9597 0.0000 2.1099
1.9597 0.0000 6.3297
0.0000 0.0000 4.2198
1.9597 1.9597 0.0000



9.
K2ScTa (PBE, relaxed); energy of formation = 1.093 eV/atom; Fermi-level density of states = 0.9978 states/eV per atom; final energy = -4.00 eV/atom; ΔE to the lowest computed polymorph = 439 meV per atom; density = 4.40 g cm⁻³
1.0
3.1492 0.0000 0.0000
-1.5746 2.7273 0.0000
0.0000 0.0000 40.0517
K Sc Ta
6 3 3
Cartesian
0.0000 0.0000 9.8553
0.0000 0.0000 30.1964
0.0000 1.8182 16.8458
0.0000 1.8182 36.5564
1.5746 0.9091 3.4953
1.5746 0.9091 23.2059
0.0000 0.0000 0.0000
0.0000 1.8182 26.7011
1.5746 0.9091 13.3505
0.0000 0.0000 20.0258
0.0000 1.8182 6.6753
1.5746 0.9091 33.3764



10.
Ca2Ag2P (PBE, relaxed); energy of formation = -0.317 eV/atom; Fermi-level density of states = 0.3171 states/eV per atom; final energy = -3.34 eV/atom; ΔE to the lowest computed polymorph = 116 meV per atom; density = 4.68 g cm⁻³
1.0
7.2558 0.0000 0.0000
0.0000 7.2558 0.0000
0.0000 0.0000 4.4083
Ca Ag P
4 4 2
Cartesian
1.3148 2.3132 0.0000
2.3132 5.9411 0.0000
4.9427 1.3148 0.0000
5.9411 4.9427 0.0000
0.9498 4.5777 2.2042
2.6782 0.9498 2.2042
4.5777 6.3061 2.2042
6.3061 2.6782 2.2042
0.0000 0.0000 2.2042
3.6279 3.6279 2.2042



11.
Sm3TlAg (PBE, relaxed); energy of formation = -0.233 eV/atom; Fermi-level density of states = 1.2939 states/eV per atom; final energy = -4.11 eV/atom; ΔE to the lowest computed polymorph = 0 meV per atom; density = 8.79 g cm⁻³
1.0
2.6447 -10.3052 0.0000
2.6447 10.3052 0.0000
0.0000 0.0000 5.2896
Sm Tl Ag
6 2 2
Cartesian
2.6447 9.0637 3.9672
2.6447 5.1687 3.9672
2.6447 1.2805 3.9672
2.6447 -1.2805 1.3224
2.6447 -5.1687 1.3224
2.6447 -9.0637 1.3224
2.6447 7.1226 1.3224
2.6447 -7.1226 3.9672
2.6447 3.1777 1.3224
2.6447 -3.1777 3.9672



12.
Pr5YSc (PBE, relaxed); energy of formation = 0.193 eV/atom; Fermi-level density of states = 1.4717 states/eV per atom; final energy = -5.05 eV/atom; ΔE to the lowest computed polymorph = 0 meV per atom; density = 5.82 g cm⁻³
1.0
5.9763 -3.4098 0.0000
5.9763 3.4098 0.0000
-5.6659 0.0000 11.7419
Pr Y Sc
10 2 2
Cartesian
-1.5435 0.9189 8.4275
1.7269 2.8834 8.8064
-0.7695 1.5563 11.6223
1.2895 -0.9189 2.5565
4.2232 1.5563 5.9905
2.0635 -1.5563 5.7514
4.9972 0.9189 9.1853
7.0561 -1.5563 0.1196
4.5598 -2.8834 2.9355
7.8301 -0.9189 3.3144
4.5598 0.2098 2.9355
1.7269 -0.2098 8.8064
0.1552 1.7049 5.8709
2.9881 -1.7049 0.0000



13.
Pm3Pb5 (PBE, relaxed); energy of formation = -0.433 eV/atom; Fermi-level density of states = 0.5493 states/eV per atom; final energy = -4.53 eV/atom; ΔE to the lowest computed polymorph = 10 meV per atom; density = 10.21 g cm⁻³
1.0
5.3425 -4.2133 0.0000
5.3425 4.2133 0.0000
0.0000 0.0000 10.6233
Pm Pb
6 10
Cartesian
5.3425 3.3980 7.9675
3.1211 0.0000 0.0000
3.1211 0.0000 5.3117
7.5640 0.0000 0.0000
7.5640 0.0000 5.3117
5.3425 -3.3980 2.6558
2.4195 1.8792 7.9675
5.3425 2.5301 0.4064
5.3425 2.5301 4.9053
2.4195 -1.8792 2.6558
5.3425 0.0085 7.9675
5.3425 -0.0085 2.6558
8.2655 1.8792 7.9675
5.3425 -2.5301 5.7181
5.3425 -2.5301 10.2169
8.2655 -1.8792 2.6558



14.
U2Co3Ge5 (PBE, relaxed); energy of formation = -0.314 eV/atom; Fermi-level density of states = 1.2358 states/eV per atom; final energy = -7.01 eV/atom; density = 10.48 g cm⁻³
1.0
2.0658 -12.0949 0.0000
2.0658 12.0949 0.0000
0.0000 0.0000 6.4438
U Co Ge
4 6 10
Cartesian
2.0658 11.5340 3.2219
2.0658 4.0858 3.0239
2.0658 -4.0858 6.2458
2.0658 -11.5340 0.0000
2.0658 9.5897 4.8096
2.0658 5.3565 6.1921
2.0658 1.2528 4.6607
2.0658 -1.2528 1.4388
2.0658 -5.3565 2.9702
2.0658 -9.5897 1.5877
2.0658 9.7577 0.8604
2.0658 7.0795 4.3446
2.0658 6.9635 1.6325
2.0658 2.9686 6.4369
2.0658 1.2050 2.1475
2.0658 -1.2050 5.3694
2.0658 -2.9686 3.2150
2.0658 -6.9635 4.8544
2.0658 -7.0795 1.1227
2.0658 -9.7577 4.0823



15.
DyTmIr2 (PBE, relaxed); energy of formation = -0.860 eV/atom; Fermi-level density of states = 0.6654 states/eV per atom; final energy = -7.56 eV/atom; ΔE to the lowest computed polymorph = 8 meV per atom; density = 15.07 g cm⁻³
1.0
6.8084 0.0000 0.0000
0.0000 6.8084 0.0000
0.0000 0.0000 6.8084
Dy Tm Ir
4 4 8
Cartesian
0.0000 0.0000 0.0000
0.0000 3.4042 3.4042
3.4042 0.0000 3.4042
3.4042 3.4042 0.0000
0.0000 0.0000 3.4042
0.0000 3.4042 0.0000
3.4042 0.0000 0.0000
3.4042 3.4042 3.4042
1.7021 1.7021 1.7021
1.7021 1.7021 5.1063
1.7021 5.1063 1.7021
1.7021 5.1063 5.1063
5.1063 1.7021 1.7021
5.1063 1.7021 5.1063
5.1063 5.1063 1.7021
5.1063 5.1063 5.1063



16.
Si2SbP (PBE, relaxed); Fermi-level density of states = 0.4616 states/eV per atom; final energy = -4.81 eV/atom; ΔE to the lowest computed polymorph = 54 meV per atom; density = 4.59 g cm⁻³
1.0
4.6537 0.0000 0.0000
0.0000 3.6883 0.0000
-1.6376 0.0000 4.4059
Si Sb P
2 1 1
Cartesian
0.6154 0.0000 1.2231
2.4007 0.0000 3.1829
2.3269 1.8442 0.0000
-0.8188 1.8442 2.2030



17.
Tb3Zn2GaNi9 (PBE, relaxed); energy of formation = -0.122 eV/atom; Fermi-level density of states = 0.6999 states/eV per atom; final energy = -4.89 eV/atom; density = 7.70 g cm⁻³
1.0
5.1408 0.0000 0.0000
-2.5704 4.4520 0.0000
0.0000 0.0000 11.3580
Tb Zn Ga Ni
3 2 1 9
Cartesian
0.0000 0.0000 0.0000
0.0000 2.9680 8.6654
2.5704 1.4840 2.6926
0.0000 2.9680 1.9102
2.5704 1.4840 9.4478
0.0000 0.0000 5.6790
-1.2852 2.2260 0.0000
0.0000 1.5277 3.8694
-1.2474 3.6882 3.8694
1.3230 0.7638 7.4885
2.5704 0.0000 0.0000
1.2852 2.2260 0.0000
1.2474 3.6882 3.8694
3.8178 0.7638 7.4885
2.5704 2.9244 7.4885



18.
ErB6N6 (PBE, relaxed); Fermi-level density of states = 0.2076 states/eV per atom; final energy = -7.50 eV/atom; density = 5.26 g cm⁻³
1.0
4.6391 0.0000 0.0000
0.0000 4.6391 0.0000
0.0000 0.0000 4.6391
Er B N
1 6 6
Cartesian
0.0000 0.0000 0.0000
0.0000 1.1039 2.3195
0.0000 3.5352 2.3195
1.1039 2.3195 0.0000
2.3195 0.0000 1.1039
2.3195 0.0000 3.5352
3.5352 2.3195 0.0000
0.0000 2.3195 1.1563
0.0000 2.3195 3.4828
1.1563 0.0000 2.3195
2.3195 1.1563 0.0000
2.3195 3.4828 0.0000
3.4828 0.0000 2.3195



19.
InCo2Cu (PBE, relaxed); energy of formation = 0.178 eV/atom; Fermi-level density of states = 0.9580 states/eV per atom; final energy = -5.08 eV/atom; density = 8.97 g cm⁻³
1.0
8.8458 0.0000 0.0000
0.0000 5.3736 0.0000
-4.2270 0.0000 4.6140
In Co Cu
4 8 4
Cartesian
0.0000 0.0000 0.0000
-2.4697 2.6868 3.0598
4.4229 2.6868 0.0000
1.9532 0.0000 3.0598
-2.1792 0.0000 2.9385
2.1173 1.4420 0.7891
2.1173 3.9316 0.7891
-0.3461 0.0000 4.5929
2.2437 2.6868 2.9385
6.5402 1.2448 0.7891
6.5402 4.1288 0.7891
4.0768 2.6868 4.5929
-0.1555 1.4185 2.2331
-0.1555 3.9551 2.2331
4.2674 1.2683 2.2331
4.2674 4.1053 2.2331



20.
PuGa6Ni6 (PBE, relaxed); energy of formation = -0.401 eV/atom; Fermi-level density of states = 1.2927 states/eV per atom; final energy = -5.57 eV/atom; density = 9.26 g cm⁻³
1.0
-2.5095 4.1676 4.3473
2.5095 -4.1676 4.3473
2.5095 4.1676 -4.3473
Pu Ga Ni
1 6 6
Cartesian
0.0000 0.0000 0.0000
2.5095 0.0000 1.6063
0.0000 2.8580 0.0000
0.0000 0.0000 2.9935
0.0000 0.0000 5.7011
0.0000 5.4772 0.0000
0.0000 4.1676 2.7410
1.2547 2.0838 -2.1737
1.2547 -2.0838 2.1737
2.5095 2.0042 0.0000
-1.2547 2.0838 2.1737
1.2547 2.0838 2.1737
0.0000 2.1634 4.3473